Here is PrTlO3 after structural relaxation from the Open Quantum Materials Database. Energies are from GGA-PBE.

a = 6.2618 Å, b = 6.2618 Å, c = 6.2618 Å
α = 58.24°, β = 58.24°, γ = 58.24°
Positions (direct):
O 0.7500 0.4038 0.0962
O 0.5962 0.9038 0.2500
O 0.0962 0.7500 0.4038
O 0.9038 0.2500 0.5962
O 0.4038 0.0962 0.7500
O 0.2500 0.5962 0.9038
Pr 0.0000 0.0000 0.0000
Pr 0.5000 0.5000 0.5000
Tl 0.2500 0.2500 0.2500
Tl 0.7500 0.7500 0.7500

Results
space-group type = R-3c (167)
spin magnetization = 0.00 μB/cell


Here is ThHPt after structural relaxation from the Open Quantum Materials Database. Energies are from GGA-PBE.

a = 3.8987 Å, b = 4.2150 Å, c = 6.4529 Å
α = 90.00°, β = 105.93°, γ = 90.00°
Positions (direct):
H 0.2496 0.2500 0.0095
H 0.7504 0.7500 0.9905
Pt 0.9111 0.2500 0.3496
Pt 0.0889 0.7500 0.6504
Th 0.3483 0.7500 0.2111
Th 0.6517 0.2500 0.7889

Results
space-group type = P2_1/m (11)
spin magnetization = 0.01 μB/cell


Here is Tm3Zr3Te2Ir after structural relaxation from the Open Quantum Materials Database. Energies are from GGA-PBE.

a = 8.0989 Å, b = 8.0989 Å, c = 3.7186 Å
α = 90.00°, β = 90.00°, γ = 120.00°
Positions (direct):
Ir 0.0000 0.0000 0.0000
Te 0.6667 0.3333 0.5000
Te 0.3333 0.6667 0.5000
Tm 0.7518 0.0000 0.5000
Tm 0.2482 0.2482 0.5000
Tm 0.0000 0.7518 0.5000
Zr 0.4057 0.0000 0.0000
Zr 0.0000 0.4057 0.0000
Zr 0.5943 0.5943 0.0000

Results
space-group type = P-62m (189)
energy above the lowest structure with this stoichiometry = 1.20 eV/f.u.
spin magnetization = 0.02 μB/cell


Here is LiCuSnTe3 after structural relaxation from the Open Quantum Materials Database. Energies are from GGA-PBE.

a = 8.0187 Å, b = 4.0865 Å, c = 9.6400 Å
α = 90.00°, β = 96.89°, γ = 90.00°
Positions (direct):
Cu 0.9426 0.7500 0.4278
Cu 0.0574 0.2500 0.5722
Li 0.1940 0.2500 0.3092
Li 0.8060 0.7500 0.6908
Sn 0.6813 0.2500 0.1391
Sn 0.3187 0.7500 0.8609
Te 0.9567 0.7500 0.1546
Te 0.4033 0.7500 0.1726
Te 0.7387 0.2500 0.4608
Te 0.2613 0.7500 0.5392
Te 0.5967 0.2500 0.8274
Te 0.0433 0.2500 0.8454

Results
space-group type = P2_1/m (11)
energy above the lowest structure with this stoichiometry = 0.00 eV/f.u.


Here is AgB4Mo after structural relaxation from the Open Quantum Materials Database. Energies are from GGA-PBE.

a = 4.6944 Å, b = 4.6944 Å, c = 4.6944 Å
α = 141.98°, β = 111.94°, γ = 80.71°
Site moments in Bohr magnetons follow the coordinates.
Positions (direct):
Ag 0.5000 0.5000 0.0000  0.04
B 0.5920 0.2618 0.3302  0.01
B 0.0684 0.7382 0.3302  0.01
B 0.9316 0.2618 0.6698  0.01
B 0.4080 0.7382 0.6698  0.01
Mo 0.0000 0.0000 0.0000  0.45

Results
space-group type = Immm (71)
energy above the lowest structure with this stoichiometry = 1.32 eV/f.u.
spin magnetization = 0.62 μB/cell


Here is RbBeBiPd after structural relaxation from the Open Quantum Materials Database. Energies are from GGA-PBE.

a = 5.0879 Å, b = 5.0879 Å, c = 5.0879 Å
α = 60.00°, β = 60.00°, γ = 60.00°
Positions (direct):
Be 0.7500 0.7500 0.7500
Bi 0.0000 0.0000 0.0000
Pd 0.2500 0.2500 0.2500
Rb 0.5000 0.5000 0.5000

Results
space-group type = F-43m (216)
energy above the lowest structure with this stoichiometry = 0.00 eV/f.u.


Here is Ag2Se after structural relaxation from the Open Quantum Materials Database. Energies are from GGA-PBE.

a = 6.8496 Å, b = 4.1809 Å, c = 8.3348 Å
α = 90.00°, β = 90.00°, γ = 90.00°
Positions (direct):
Ag 0.3783 0.7500 0.0762
Ag 0.0857 0.2500 0.2190
Ag 0.5857 0.2500 0.2810
Ag 0.8783 0.7500 0.4238
Ag 0.1217 0.2500 0.5762
Ag 0.4143 0.7500 0.7190
Ag 0.9143 0.7500 0.7810
Ag 0.6217 0.2500 0.9238
Se 0.7923 0.7500 0.1019
Se 0.2923 0.7500 0.3981
Se 0.7077 0.2500 0.6019
Se 0.2077 0.2500 0.8981

Results
space-group type = Pnma (62)


Here is PrMg2 after structural relaxation from the Open Quantum Materials Database. Energies are from GGA-PBE.

a = 6.2796 Å, b = 6.2796 Å, c = 5.9338 Å
α = 90.00°, β = 90.00°, γ = 90.00°
Positions (direct):
Mg 0.3429 0.3429 0.0000
Mg 0.6571 0.6571 0.0000
Mg 0.8429 0.1571 0.5000
Mg 0.1571 0.8429 0.5000
Pr 0.0000 0.0000 0.0000
Pr 0.5000 0.5000 0.5000

Results
space-group type = P4_2/mnm (136)
spin magnetization = 0.14 μB/cell


Record-wise total DFT energy (no corrections) values, in eV per atom: -6.28, -6.54, -6.67, -3.48, -6.47, -2.96, -3.09, -1.88